1.
Below is a relaxed structure of MnCo2Te, with properties calculated at the PBE level.

```
MnCo2Te
1.0
-1.9214 1.9214 8.5314
1.9214 -1.9214 8.5314
1.9214 1.9214 -8.5314
Mn Co Te
2 4 2
Direct
0.0000 0.0000 0.0000
0.7500 0.2500 0.5000
0.0954 0.6250 0.9704
0.3750 0.3454 0.4704
0.6546 0.1250 0.0296
0.8750 0.9046 0.5296
0.2500 0.7500 0.5000
0.5000 0.5000 0.0000
```

Properties
total moment	11.35	μB per cell
DFT total energy	-0.4523	Ry/atom
crystal system	tetragonal
raw formation energy	46	kJ/mol of atoms
space group	I-42d (122)


2.
Below is a relaxed structure of MnCoTe2, with properties calculated at the PBE level.

```
MnCoTe2
1.0
0.0000 3.3565 3.3565
3.3565 0.0000 3.3565
3.3565 3.3565 0.0000
Mn Co Te
1 1 2
Direct
0.0000 0.0000 0.0000
0.5000 0.5000 0.5000
0.2500 0.2500 0.2500
0.7500 0.7500 0.7500
```

Properties
total moment	2.67	μB per cell
DFT total energy	-0.3883	Ry/atom
crystal system	cubic
raw formation energy	34	kJ/mol of atoms
space group	Fm-3m (225)